Ni2TeBr after structural relaxation. Source: Alexandria, functional PBE.

Cell lengths 6.5420, 6.5420, 6.5420 Å; angles 90.00, 90.00, 90.00 degrees
Space group Fm-3m (No. 225)
One atom of each set of equivalent atoms:
Ni  0.2500  0.2500  0.2500 [8 per cell]
Te  0.0000  0.0000  0.0000 [4 per cell]
Br  0.0000  0.0000  0.5000 [4 per cell]

Summary:
Uncorrected formation energy = 498 meV per atom
Relative energy among the computed polymorphs = 0.585 eV/atom